1.
VASP calculation (SCAN) on a PBEsol-optimized structure of YCoRe2O.

a b c (Å): 4.641 4.641 3.627
angles (deg): 90.00 90.00 90.00
Atoms (fractional coordinates):
Y (0.000, 0.000, 0.000)
Co (0.500, 0.500, 0.500)
Re (0.000, 0.500, 0.500)
Re (0.500, 0.000, 0.500)
O (0.500, 0.500, 0.000)

Its space-group type is No. 123.

---

2.
VASP calculation (SCAN) on a PBEsol-optimized structure of ZnCoRe2O.

a b c (Å): 4.489 4.489 4.110
angles (deg): 90.00 90.00 90.00
Atoms (fractional coordinates):
Zn (0.000, 0.000, 0.000)
Co (0.000, 0.000, 0.500)
Re (0.000, 0.500, 0.000)
Re (0.500, 0.000, 0.000)
O (0.500, 0.500, 0.500)

Its space-group type is No. 123.

---

3.
VASP calculation (SCAN) on a PBEsol-optimized structure of Co5RuO8.

a b c (Å): 5.776 5.776 5.776
angles (deg): 58.78 58.78 58.78
Atoms (fractional coordinates):
Co (0.000, 0.500, 0.500)
Co (0.129, 0.129, 0.129)
Co (0.500, 0.000, 0.500)
Co (0.500, 0.500, 0.000)
Co (0.871, 0.871, 0.871)
Ru (0.500, 0.500, 0.500)
O (0.253, 0.253, 0.720)
O (0.253, 0.720, 0.253)
O (0.263, 0.263, 0.263)
O (0.280, 0.747, 0.747)
O (0.720, 0.253, 0.253)
O (0.737, 0.737, 0.737)
O (0.747, 0.280, 0.747)
O (0.747, 0.747, 0.280)

Its space-group type is No. 166.

---

4.
VASP calculation (SCAN) on a PBEsol-optimized structure of Co2RuO4.

a b c (Å): 5.842 5.842 5.842
angles (deg): 124.20 119.67 86.73
Atoms (fractional coordinates):
Co (0.000, 0.000, 0.000)
Co (0.377, 0.627, 0.750)
Co (0.500, 0.000, 0.500)
Co (0.623, 0.373, 0.250)
Ru (0.000, 0.000, 0.500)
Ru (0.000, 0.500, 0.000)
O (0.228, 0.225, 0.003)
O (0.239, 0.217, 0.478)
O (0.239, 0.761, 0.022)
O (0.277, 0.775, 0.503)
O (0.723, 0.225, 0.497)
O (0.761, 0.239, 0.978)
O (0.761, 0.783, 0.522)
O (0.772, 0.775, 0.997)

Its space-group type is No. 74.

---

5.
VASP calculation (SCAN) on a PBEsol-optimized structure of CoSbRu2O.

a b c (Å): 4.678 4.678 3.332
angles (deg): 90.00 90.00 90.00
Atoms (fractional coordinates):
Co (0.000, 0.000, 0.000)
Sb (0.500, 0.500, 0.500)
Ru (0.000, 0.500, 0.000)
Ru (0.500, 0.000, 0.000)
O (0.000, 0.000, 0.500)

Its space-group type is No. 123.

---

6.
VASP calculation (SCAN) on a PBEsol-optimized structure of Sr3CoRuO6.

a b c (Å): 6.595 6.595 6.649
angles (deg): 92.49 92.49 92.99
Atoms (fractional coordinates):
Sr (0.116, 0.884, 0.750)
Sr (0.250, 0.385, 0.615)
Sr (0.385, 0.250, 0.115)
Sr (0.615, 0.750, 0.885)
Sr (0.750, 0.615, 0.385)
Sr (0.884, 0.116, 0.250)
Co (0.243, 0.757, 0.250)
Co (0.757, 0.243, 0.750)
Ru (0.000, 0.500, 0.000)
Ru (0.500, 0.000, 0.500)
O (0.033, 0.210, 0.907)
O (0.097, 0.468, 0.287)
O (0.210, 0.033, 0.407)
O (0.285, 0.589, 0.958)
O (0.411, 0.715, 0.542)
O (0.468, 0.097, 0.787)
O (0.532, 0.903, 0.213)
O (0.589, 0.285, 0.458)
O (0.715, 0.411, 0.042)
O (0.790, 0.967, 0.593)
O (0.903, 0.532, 0.713)
O (0.967, 0.790, 0.093)

Its space-group type is No. 15.

---

Number 1: formation energy (no corrections) 0.889 eV per atom, calculated total energy -37.83 eV/atom. Number 2: formation energy (no corrections) 2.659 eV per atom, calculated total energy -33.19 eV/atom. Number 3: formation energy (no corrections) -1.340 eV per atom, calculated total energy -13.57 eV/atom. Number 4: formation energy (no corrections) -1.246 eV per atom, calculated total energy -14.73 eV/atom. Number 5: formation energy (no corrections) 0.422 eV per atom, calculated total energy -25.67 eV/atom. Number 6: formation energy (no corrections) -2.293 eV per atom, calculated total energy -16.51 eV/atom.